1.
A geometry-optimized Ba3Cu2SnO6 structure, computed with PBE-GGA.

Computed properties:
* raw formation energy: -1670.1 meV per atom
* SG: P-3m1 (164)
* total magnetization: 0.0 μB per formula unit
* DOS at the Fermi energy: 6.399 states/eV/cell
* calculated volume: 18.1 Å³/atom

Geometry as POSCAR:
```
Ba3Cu2SnO6
1.0
6.060 0.000 0.000
-3.030 5.248 0.000
0.000 0.000 6.831
Ba O Sn Cu
3 6 1 2
Cartesian
0.000 3.499 4.443 Ba
3.030 1.749 2.388 Ba
0.000 0.000 0.000 Ba
-1.561 4.400 2.157 O
4.591 0.848 4.673 O
1.469 0.848 4.673 O
0.000 1.696 2.157 O
1.561 4.400 2.157 O
3.030 3.552 4.673 O
0.000 0.000 3.415 Sn
0.000 3.499 1.396 Cu
3.030 1.749 5.434 Cu
```

2.
A geometry-optimized Ba4Cu3SnO9 structure, computed with PBE-GGA.

Computed properties:
* raw formation energy: -1751.5 meV per atom
* SG: Pm-3n (223)
* total magnetization: 0.0 μB per formula unit
* DOS at the Fermi energy: 10.091 states/eV/cell
* calculated volume: 15.5 Å³/atom

Geometry as POSCAR:
```
Ba4Cu3SnO9
1.0
8.080 0.000 0.000
0.000 8.080 0.000
0.000 0.000 8.080
O Ba Cu Sn
18 8 6 2
Cartesian
6.060 0.000 4.040 O
1.931 4.040 4.040 O
0.000 0.000 2.108 O
4.040 1.931 4.040 O
0.000 4.040 2.020 O
5.971 0.000 0.000 O
4.040 6.060 0.000 O
6.148 4.040 4.040 O
4.040 4.040 6.148 O
4.040 6.148 4.040 O
2.020 0.000 4.040 O
0.000 5.971 0.000 O
2.108 0.000 0.000 O
0.000 0.000 5.971 O
4.040 2.020 0.000 O
0.000 2.108 0.000 O
0.000 4.040 6.060 O
4.040 4.040 1.931 O
6.060 6.060 2.020 Ba
6.060 2.020 2.020 Ba
2.020 6.060 6.060 Ba
2.020 2.020 6.060 Ba
6.060 2.020 6.060 Ba
6.060 6.060 6.060 Ba
2.020 6.060 2.020 Ba
2.020 2.020 2.020 Ba
4.040 0.000 0.000 Cu
4.040 0.000 4.040 Cu
0.000 0.000 4.040 Cu
4.040 4.040 0.000 Cu
0.000 4.040 0.000 Cu
0.000 4.040 4.040 Cu
0.000 0.000 0.000 Sn
4.040 4.040 4.040 Sn
```

3.
A geometry-optimized Ba2CuSnO5 structure, computed with PBE-GGA.

Computed properties:
* raw formation energy: -1807.9 meV per atom
* SG: Cmc2_1 (36)
* total magnetization: 1.0 μB per formula unit
* DOS at the Fermi energy: 3.615 states/eV/cell
* calculated volume: 16.3 Å³/atom

Geometry as POSCAR:
```
Ba2CuSnO5
1.0
3.418 0.000 0.000
-1.709 8.004 0.000
0.000 0.000 10.699
O Cu Ba Sn
10 2 4 2
Cartesian
0.000 4.768 4.074 O
1.709 3.365 1.492 O
1.709 0.084 8.525 O
0.000 5.460 0.057 O
1.709 6.748 5.619 O
1.709 3.236 9.424 O
0.000 1.256 0.269 O
1.709 2.544 5.406 O
0.000 7.921 3.175 O
0.000 4.639 6.841 O
0.000 7.207 4.910 Cu
1.709 0.797 10.259 Cu
0.000 1.974 3.303 Ba
1.709 6.088 2.125 Ba
0.000 1.917 7.475 Ba
1.709 6.030 8.653 Ba
1.709 4.580 5.460 Sn
0.000 3.424 0.111 Sn
```

4.
A geometry-optimized Ba2Cu2SnO6 structure, computed with PBE-GGA.

Computed properties:
* raw formation energy: -1598.5 meV per atom
* SG: R-3m (166)
* total magnetization: 2.1 μB per formula unit
* DOS at the Fermi energy: 3.308 states/eV/cell
* calculated volume: 15.6 Å³/atom

Geometry as POSCAR:
```
Ba2Cu2SnO6
1.0
5.978 0.000 0.000
2.989 5.177 0.000
2.989 1.726 5.553
O Ba Cu Sn
6 2 2 1
Cartesian
5.978 1.593 1.368 O
4.368 4.381 1.368 O
7.587 4.381 1.368 O
5.978 5.310 4.184 O
4.368 2.522 4.184 O
7.587 2.522 4.184 O
8.966 5.177 3.668 Ba
2.989 1.726 1.884 Ba
5.978 3.451 1.364 Cu
5.978 3.451 4.189 Cu
0.000 0.000 0.000 Sn
```

5.
A geometry-optimized Ba7SrCu8O24 structure, computed with PBE-GGA.

Computed properties:
* raw formation energy: -1244.8 meV per atom
* SG: Pm-3m (221)
* total magnetization: 6.9 μB per formula unit
* DOS at the Fermi energy: 39.986 states/eV/cell
* calculated volume: 12.8 Å³/atom

Geometry as POSCAR:
```
Ba7SrCu8O24
1.0
-2.246 6.566 3.984
2.468 -3.314 6.853
7.273 3.152 -1.095
O Ba Sr Cu
24 7 1 8
Cartesian
6.195 3.162 6.318 O
-1.098 4.160 4.683 O
2.372 -0.039 1.402 O
0.168 2.461 8.198 O
4.932 0.720 5.592 O
2.484 0.761 4.145 O
0.072 5.735 2.747 O
1.320 -0.908 6.154 O
5.010 5.645 5.597 O
7.369 -0.122 4.356 O
6.103 1.578 0.840 O
3.803 7.352 2.185 O
2.540 1.578 6.868 O
3.692 2.385 2.148 O
1.224 2.367 0.703 O
1.355 4.060 6.147 O
1.300 3.243 3.424 O
3.803 4.020 7.594 O
4.955 4.827 2.874 O
4.955 3.984 0.142 O
3.638 -1.739 4.917 O
2.563 5.685 4.150 O
0.054 0.792 2.639 O
6.139 2.345 3.595 O
-1.123 3.283 1.992 Ba
0.111 1.626 5.418 Ba
3.636 1.576 -0.547 Ba
1.234 -1.657 3.426 Ba
2.513 4.859 1.444 Ba
3.747 3.203 4.871 Ba
4.870 -0.081 2.879 Ba
0.000 0.000 0.000 Sr
4.387 6.459 3.880 Cu
1.985 3.228 7.853 Cu
5.509 3.177 1.889 Cu
6.743 1.521 5.314 Cu
0.752 4.884 4.428 Cu
1.874 1.602 2.436 Cu
3.108 -0.054 5.862 Cu
5.620 4.803 7.305 Cu
```

6.
A geometry-optimized BaSrCuO4 structure, computed with PBE-GGA.

Computed properties:
* raw formation energy: -1721.0 meV per atom
* SG: I4mm (107)
* total magnetization: 0.0 μB per formula unit
* DOS at the Fermi energy: 6.315 states/eV/cell
* calculated volume: 14.5 Å³/atom

Geometry as POSCAR:
```
BaSrCuO4
1.0
-0.390 3.921 0.658
-0.850 0.563 -3.863
-5.560 -3.065 2.843
Ba O Sr Cu
1 4 1 1
Cartesian
-2.401 2.005 -1.245 Ba
-6.516 -0.530 -0.709 O
-6.286 1.149 1.551 O
-1.922 -0.256 0.386 O
-4.943 1.666 -0.735 O
-4.493 -0.598 0.902 Sr
-0.021 -0.003 0.004 Cu
```

7.
A geometry-optimized Ba2SrCuO structure, computed with PBE-GGA.

Computed properties:
* raw formation energy: -892.3 meV per atom
* SG: P4/mmm (123)
* total magnetization: 0.0 μB per formula unit
* DOS at the Fermi energy: 4.678 states/eV/cell
* calculated volume: 31.2 Å³/atom

Geometry as POSCAR:
```
Ba2SrCuO
1.0
5.591 0.000 0.000
0.000 5.591 0.000
0.000 0.000 4.994
Cu Sr Ba O
1 1 2 1
Cartesian
2.795 2.795 2.497 Cu
0.000 0.000 2.497 Sr
0.000 2.795 0.000 Ba
2.795 0.000 0.000 Ba
0.000 0.000 0.000 O
```

8.
A geometry-optimized BaSr2Cu3O6 structure, computed with PBE-GGA.

Computed properties:
* raw formation energy: -1614.5 meV per atom
* SG: P4/mmm (123)
* total magnetization: 0.5 μB per formula unit
* DOS at the Fermi energy: 7.692 states/eV/cell
* calculated volume: 15.5 Å³/atom

Geometry as POSCAR:
```
BaSr2Cu3O6
1.0
3.866 0.000 0.000
0.000 3.866 0.000
0.000 0.000 12.450
O Cu Ba Sr
6 3 1 2
Cartesian
1.933 0.000 4.243 O
0.000 0.000 10.669 O
1.933 0.000 8.207 O
0.000 1.933 8.207 O
0.000 0.000 1.781 O
0.000 1.933 4.243 O
0.000 0.000 4.112 Cu
0.000 0.000 0.000 Cu
0.000 0.000 8.339 Cu
1.933 1.933 6.225 Ba
1.933 1.933 2.456 Sr
1.933 1.933 9.994 Sr
```

Q: Which value of calculated volume does entry 7 give?
A: 31.2 Å³/atom

Q: Which formula does entry 2 have?
A: Ba4Cu3SnO9